! Ca2Ag3 | the Alexandria database | PBEsol | optimized geometry; values from VASP
&SYSTEM
  ibrav = 0, nat = 15, ntyp = 2
/
ATOMIC_SPECIES
Ca 40.08 Ca.upf
Ag 107.87 Ag.upf
CELL_PARAMETERS angstrom
4.690 0.000 0.000
-2.345 4.062 0.000
0.000 0.000 19.040
ATOMIC_POSITIONS crystal
Ca 0.000 0.000 0.091
Ca 0.000 0.000 0.909
Ca 0.333 0.667 0.575
Ca 0.333 0.667 0.758
Ca 0.667 0.333 0.242
Ca 0.667 0.333 0.425
Ag 0.000 0.000 0.345
Ag 0.000 0.000 0.500
Ag 0.000 0.000 0.655
Ag 0.333 0.667 0.012
Ag 0.333 0.667 0.167
Ag 0.333 0.667 0.322
Ag 0.667 0.333 0.678
Ag 0.667 0.333 0.833
Ag 0.667 0.333 0.988
! electronic total energy = -45.70 eV per cell
! ΔE_f = -1.035 eV per formula unit
! calculated volume = 24.2 Å³/atom